Entry 1:
Material: Tm7Ga2Cu2
Method: DFT, PBE-GGA
State: relaxed

a = 6.6102 Å, b = 6.6102 Å, c = 6.8500 Å
α = 90.00°, β = 90.00°, γ = 109.77°
Closest atoms and distances in Å follow each position.
Fractional coordinates of all 11 atoms:
1 Tm 0.0000 0.0000 0.0000  2 Cu 3.20
2 Tm 0.0000 0.5000 0.2634  2 Cu 2.67
3 Tm 0.0000 0.5000 0.7366  2 Cu 2.67
4 Tm 0.5000 0.0000 0.2634  2 Cu 2.67
5 Tm 0.5000 0.0000 0.7366  2 Cu 2.67
6 Tm 0.5000 0.5000 0.2527  2 Cu 2.80, 2 Ga 3.04
7 Tm 0.5000 0.5000 0.7473  2 Cu 2.80, 2 Ga 3.04
8 Ga 0.1681 0.1681 0.5000  1 Ga 2.56
9 Ga 0.8319 0.8319 0.5000  1 Ga 2.56
10 Cu 0.2963 0.7037 0.0000  6 Tm 2.67-2.80
11 Cu 0.7037 0.2963 0.0000  6 Tm 2.67-2.80

---

Entry 2:
Material: TmGa3Cu8
Method: DFT, PBE-GGA
State: relaxed

a = 4.9290 Å, b = 4.9290 Å, c = 8.1626 Å
α = 90.00°, β = 90.00°, γ = 120.00°
Closest atoms and distances in Å follow each position.
Fractional coordinates of all 12 atoms:
1 Tm 0.0000 0.0000 0.0000  12 Cu 2.91-2.99, 4 Ga 3.08
2 Ga 0.0000 0.0000 0.3775  12 Cu 2.82-2.90, 3 Ga 3.00, 1 Tm 3.08
3 Ga 0.6667 0.3333 0.4920  12 Cu 2.84-2.89, 4 Ga 2.97-3.00
4 Ga 0.6667 0.3333 0.8562  12 Cu 2.87-3.06, 1 Ga 2.97, 3 Tm 3.08
5 Cu 0.1643 0.3286 0.6766  6 Cu 2.43-2.51
6 Cu 0.1643 0.8357 0.6766  6 Cu 2.43-2.51
7 Cu 0.3333 0.6667 0.4324  6 Cu 2.45-2.46
8 Cu 0.3333 0.6667 0.9279  6 Cu 2.51-2.58
9 Cu 0.5024 0.0047 0.1900  6 Cu 2.43-2.58
10 Cu 0.5024 0.4976 0.1900  6 Cu 2.43-2.58
11 Cu 0.6714 0.8357 0.6766  6 Cu 2.43-2.51
12 Cu 0.9953 0.4976 0.1900  6 Cu 2.43-2.58

---

Entry 3:
Material: Tm6Ga2Cu
Method: DFT, PBE-GGA
State: relaxed

a = 6.1220 Å, b = 8.0491 Å, c = 10.8061 Å
α = 90.00°, β = 120.44°, γ = 90.00°
Closest atoms and distances in Å follow each position.
Fractional coordinates of all 18 atoms:
1 Tm 0.0723 0.1692 0.4399  1 Cu 2.83, 3 Ga 2.94-3.11
2 Tm 0.0723 0.3308 0.9399  1 Cu 2.83, 3 Ga 2.94-3.11
3 Tm 0.3237 0.6830 0.4396  1 Cu 2.80, 2 Ga 3.05-3.11
4 Tm 0.3237 0.8170 0.9396  1 Cu 2.80, 2 Ga 3.05-3.11
5 Tm 0.3997 0.0349 0.2713  1 Cu 2.72, 2 Ga 3.00
6 Tm 0.3997 0.4651 0.7713  1 Cu 2.72, 2 Ga 3.00
7 Tm 0.6003 0.5349 0.2287  1 Cu 2.72, 2 Ga 3.00
8 Tm 0.6003 0.9651 0.7287  1 Cu 2.72, 2 Ga 3.00
9 Tm 0.6763 0.1830 0.0604  1 Cu 2.80, 2 Ga 3.05-3.11
10 Tm 0.6763 0.3170 0.5604  1 Cu 2.80, 2 Ga 3.05-3.11
11 Tm 0.9277 0.6692 0.0601  1 Cu 2.83, 3 Ga 2.94-3.11
12 Tm 0.9277 0.8308 0.5601  1 Cu 2.83, 3 Ga 2.94-3.11
13 Ga 0.1805 0.1267 0.7516  8 Tm 2.94-3.21
14 Ga 0.1805 0.3733 0.2516  8 Tm 2.94-3.21
15 Ga 0.8195 0.6267 0.7484  8 Tm 2.94-3.21
16 Ga 0.8195 0.8733 0.2484  8 Tm 2.94-3.21
17 Cu 0.0000 0.0000 0.0000  6 Tm 2.72-2.83
18 Cu 0.0000 0.5000 0.5000  6 Tm 2.72-2.83

---

Entry 4:
Material: Tm2Ga3Cu4
Method: DFT, PBE-GGA
State: relaxed

a = 8.0231 Å, b = 8.0231 Å, c = 7.3090 Å
α = 90.00°, β = 90.00°, γ = 140.46°
Closest atoms and distances in Å follow each position.
Fractional coordinates of all 18 atoms:
1 Tm 0.1027 0.8973 0.9014  7 Cu 2.93-3.12, 4 Ga 3.00-3.21
2 Tm 0.3973 0.6027 0.4014  7 Cu 2.93-3.12, 4 Ga 3.00-3.21
3 Tm 0.6027 0.3973 0.5986  7 Cu 2.93-3.12, 4 Ga 3.00-3.21
4 Tm 0.8973 0.1027 0.0986  7 Cu 2.93-3.12, 4 Ga 3.00-3.21
5 Ga 0.0000 0.0000 0.5000  6 Cu 2.50-2.59
6 Ga 0.0142 0.4858 0.7500  5 Cu 2.53-2.62, 2 Ga 2.71
7 Ga 0.4858 0.0142 0.2500  5 Cu 2.53-2.62, 2 Ga 2.71
8 Ga 0.5000 0.5000 0.0000  6 Cu 2.50-2.59
9 Ga 0.5142 0.9858 0.7500  5 Cu 2.53-2.62, 2 Ga 2.71
10 Ga 0.9858 0.5142 0.2500  5 Cu 2.53-2.62, 2 Ga 2.71
11 Cu 0.1712 0.8288 0.5112  5 Ga 2.54-2.62, 2 Cu 2.81
12 Cu 0.1815 0.3185 0.7500  3 Ga 2.50-2.53, 2 Cu 2.71
13 Cu 0.3185 0.1815 0.2500  3 Ga 2.50-2.53, 2 Cu 2.71
14 Cu 0.3288 0.6712 0.0112  5 Ga 2.54-2.62, 2 Cu 2.81
15 Cu 0.6712 0.3288 0.9888  5 Ga 2.54-2.62, 2 Cu 2.81
16 Cu 0.6815 0.8185 0.7500  3 Ga 2.50-2.53, 2 Cu 2.71
17 Cu 0.8185 0.6815 0.2500  3 Ga 2.50-2.53, 2 Cu 2.71
18 Cu 0.8288 0.1712 0.4888  5 Ga 2.54-2.62, 2 Cu 2.81

---

no.,energy of formation (eV/f.u.),size of the total moment (μB per atom),calculated density (g/cm³)
1,-1.15,0.000,8.5
2,-1.53,0.000,8.6
3,-2.23,0.000,8.8
4,-3.15,0.000,8.9